Entry 1:
## Ho8AlZn2 (PBE-GGA)

Data for Ho8AlZn2 after structural relaxation.

## Properties
Crystal system = orthorhombic
Energy = -44.1 eV per formula unit
Formation energy from the elements = -1.14 eV per formula unit
Distance to the lowest polymorph of the same formula = 60.0 meV/atom
Calculated volume = 26.5 Å³ per atom

Cell: 4.907 8.236 8.665 Å, 118.37 106.45 90.00°
Sites, in units of the cell vectors:
Zn1 0.805 0.305 0.609
Zn2 0.195 0.695 0.391
Ho1 0.662 0.883 0.325
Ho2 0.662 0.442 0.325
Ho3 0.338 0.558 0.675
Ho4 0.863 0.863 0.727
Ho5 0.338 0.117 0.675
Ho6 0.000 0.687 0.000
Ho7 0.000 0.313 0.000
Ho8 0.137 0.137 0.273
Al1 0.500 0.000 0.000

***

Entry 2:
## Ho2AlZn16 (PBE-GGA)

Data for Ho2AlZn16 after structural relaxation.

## Properties
Crystal system = trigonal
Energy = -37.5 eV per formula unit
Formation energy from the elements = -4.24 eV per formula unit
Calculated volume = 16.1 Å³ per atom

Cell: 6.783 6.783 6.783 Å, 82.81 82.81 82.81°
Sites, in units of the cell vectors:
Zn1 0.002 0.497 0.002
Zn2 0.835 0.352 0.352
Zn3 0.000 0.300 0.699
Zn4 0.648 0.162 0.648
Zn5 0.352 0.352 0.835
Zn6 0.300 0.699 0.000
Zn7 0.497 0.002 0.002
Zn8 0.101 0.101 0.101
Zn9 0.699 0.300 0.000
Zn10 0.352 0.835 0.352
Zn11 0.699 0.000 0.300
Zn12 0.162 0.648 0.648
Zn13 0.648 0.648 0.162
Zn14 0.300 0.000 0.699
Zn15 0.000 0.699 0.300
Zn16 0.002 0.002 0.497
Al1 0.903 0.903 0.903
Ho1 0.335 0.335 0.335
Ho2 0.665 0.665 0.665

***

Entry 3:
## Ho6AlZn2 (PBE-GGA)

Data for Ho6AlZn2 after structural relaxation.

## Properties
Crystal system = tetragonal
Energy = -33.7 eV per formula unit
Formation energy from the elements = 0.08 eV per formula unit
Distance to the lowest polymorph of the same formula = 235.5 meV/atom
Calculated volume = 28.7 Å³ per atom

Cell: 4.942 4.942 11.135 Å, 102.82 102.82 90.00°
Sites, in units of the cell vectors:
Ho1 0.586 0.086 0.171
Ho2 0.750 0.250 0.500
Ho3 0.414 0.914 0.829
Ho4 0.250 0.750 0.500
Ho5 0.086 0.586 0.171
Ho6 0.914 0.414 0.829
Zn1 0.332 0.332 0.665
Zn2 0.668 0.668 0.335
Al1 0.000 0.000 0.000

***

Entry 4:
## HoAl3Zn3 (PBE-GGA)

Data for HoAl3Zn3 after structural relaxation.

## Properties
Crystal system = cubic
Energy = -16.9 eV per formula unit
Formation energy from the elements = 2.69 eV per formula unit
Distance to the lowest polymorph of the same formula = 420.3 meV/atom
Calculated volume = 23.0 Å³ per atom

Cell: 6.852 6.852 6.852 Å, 90.00 90.00 90.00°
Sites, in units of the cell vectors:
Al1 0.500 0.000 0.750
Al2 0.250 0.500 0.000
Al3 0.750 0.500 0.000
Al4 0.000 0.750 0.500
Al5 0.000 0.250 0.500
Al6 0.500 0.000 0.250
Zn1 0.500 0.750 0.000
Zn2 0.750 0.000 0.500
Zn3 0.500 0.250 0.000
Zn4 0.000 0.500 0.250
Zn5 0.000 0.500 0.750
Zn6 0.250 0.000 0.500
Ho1 0.000 0.000 0.000
Ho2 0.500 0.500 0.500

***

Entry 5:
## Ho6Al3Zn (PBE-GGA)

Data for Ho6Al3Zn after structural relaxation.

## Properties
Crystal system = monoclinic
Energy = -42.8 eV per formula unit
Formation energy from the elements = -2.87 eV per formula unit
Calculated volume = 24.5 Å³ per atom

Cell: 5.097 8.959 11.357 Å, 108.93 90.00 90.00°
Sites, in units of the cell vectors:
Zn1 0.250 0.960 0.597
Zn2 0.750 0.040 0.403
Ho1 0.250 0.108 0.872
Ho2 0.750 0.337 0.333
Ho3 0.750 0.867 0.842
Ho4 0.250 0.133 0.158
Ho5 0.750 0.892 0.128
Ho6 0.250 0.466 0.087
Ho7 0.250 0.247 0.500
Ho8 0.250 0.663 0.667
Ho9 0.750 0.159 0.687
Ho10 0.250 0.841 0.313
Ho11 0.750 0.534 0.913
Ho12 0.750 0.753 0.500
Al1 0.750 0.612 0.219
Al2 0.250 0.770 0.966
Al3 0.250 0.529 0.376
Al4 0.250 0.388 0.781
Al5 0.750 0.471 0.624
Al6 0.750 0.230 0.034

***

Entry 6:
## HoAl4Zn (PBE-GGA)

Data for HoAl4Zn after structural relaxation.

## Properties
Crystal system = orthorhombic
Energy = -22.1 eV per formula unit
Formation energy from the elements = -1.26 eV per formula unit
Calculated volume = 18.5 Å³ per atom

Cell: 4.202 4.155 6.693 Å, 90.00 108.29 90.00°
Sites, in units of the cell vectors:
Al1 0.824 0.500 0.648
Al2 0.675 0.000 0.350
Al3 0.176 0.500 0.352
Al4 0.325 0.000 0.650
Ho1 0.500 0.500 0.000
Zn1 0.000 0.000 0.000

***

Entry 7:
## Ho12Al3Zn (PBE-GGA)

Data for Ho12Al3Zn after structural relaxation.

## Properties
Crystal system = tetragonal
Energy = -69.8 eV per formula unit
Formation energy from the elements = -2.38 eV per formula unit
Calculated volume = 26.5 Å³ per atom

Cell: 4.733 4.733 18.937 Å, 90.00 90.00 90.00°
Sites, in units of the cell vectors:
Ho1 0.500 0.000 0.125
Ho2 0.500 0.500 0.249
Ho3 0.000 0.500 0.375
Ho4 0.500 0.000 0.875
Ho5 0.500 0.500 0.500
Ho6 0.500 0.000 0.375
Ho7 0.000 0.500 0.625
Ho8 0.500 0.000 0.625
Ho9 0.000 0.500 0.125
Ho10 0.000 0.500 0.875
Ho11 0.500 0.500 0.751
Ho12 0.500 0.500 0.000
Zn1 0.000 0.000 0.000
Al1 0.000 0.000 0.500
Al2 0.000 0.000 0.751
Al3 0.000 0.000 0.249

***

Entry 8:
## Ho2AlZn2 (PBE-GGA)

Data for Ho2AlZn2 after structural relaxation.

## Properties
Crystal system = tetragonal
Energy = -17.3 eV per formula unit
Formation energy from the elements = -1.88 eV per formula unit
Calculated volume = 21.5 Å³ per atom

Cell: 6.942 6.942 8.910 Å, 90.00 90.00 90.00°
Sites, in units of the cell vectors:
Ho1 0.826 0.326 0.500
Ho2 0.674 0.826 0.000
Ho3 0.326 0.174 0.500
Ho4 0.674 0.826 0.500
Ho5 0.174 0.674 0.500
Ho6 0.826 0.326 0.000
Ho7 0.174 0.674 0.000
Ho8 0.326 0.174 0.000
Zn1 0.371 0.871 0.250
Zn2 0.871 0.629 0.750
Zn3 0.129 0.371 0.750
Zn4 0.871 0.629 0.250
Zn5 0.129 0.371 0.250
Zn6 0.371 0.871 0.750
Zn7 0.629 0.129 0.750
Zn8 0.629 0.129 0.250
Al1 0.500 0.500 0.750
Al2 0.000 0.000 0.750
Al3 0.500 0.500 0.250
Al4 0.000 0.000 0.250

***

Entry 9:
## Ho3Al4Zn4 (PBE-GGA)

Data for Ho3Al4Zn4 after structural relaxation.

## Properties
Crystal system = monoclinic
Energy = -38.2 eV per formula unit
Formation energy from the elements = -4.39 eV per formula unit
Calculated volume = 19.6 Å³ per atom

Cell: 3.683 4.371 13.705 Å, 80.85 82.30 90.04°
Sites, in units of the cell vectors:
Al1 0.255 0.255 0.490
Al2 0.406 0.906 0.188
Al3 0.594 0.094 0.812
Al4 0.745 0.745 0.511
Ho1 0.000 0.000 0.000
Ho2 0.146 0.646 0.708
Ho3 0.854 0.354 0.292
Zn1 0.453 0.453 0.094
Zn2 0.547 0.547 0.906
Zn3 0.312 0.812 0.375
Zn4 0.688 0.188 0.625

***

Entry 10:
## Ho2Al3Zn (PBE-GGA)

Data for Ho2Al3Zn after structural relaxation.

## Properties
Crystal system = orthorhombic
Energy = -24.5 eV per formula unit
Formation energy from the elements = -2.85 eV per formula unit
Calculated volume = 20.7 Å³ per atom

Cell: 5.731 5.731 8.991 Å, 113.29 113.29 76.07°
Sites, in units of the cell vectors:
Ho1 0.250 0.750 0.500
Ho2 0.251 0.749 0.000
Ho3 0.749 0.251 0.000
Ho4 0.750 0.250 0.500
Zn1 0.666 0.666 0.333
Zn2 0.334 0.334 0.667
Al1 0.168 0.168 0.832
Al2 0.832 0.832 0.664
Al3 0.336 0.336 0.168
Al4 0.832 0.832 0.168
Al5 0.664 0.664 0.832
Al6 0.168 0.168 0.336

***

Entry 11:
## Ho5AlZn2 (PBE-GGA)

Data for Ho5AlZn2 after structural relaxation.

## Properties
Crystal system = tetragonal
Energy = -31.2 eV per formula unit
Formation energy from the elements = -1.97 eV per formula unit
Calculated volume = 25.3 Å³ per atom

Cell: 7.995 7.995 8.490 Å, 118.09 118.09 90.00°
Sites, in units of the cell vectors:
Ho1 0.805 0.992 0.298
Ho2 0.008 0.508 0.702
Ho3 0.508 0.695 0.702
Ho4 0.492 0.305 0.298
Ho5 0.305 0.805 0.298
Ho6 0.500 0.500 0.000
Ho7 0.695 0.195 0.702
Ho8 0.992 0.492 0.298
Ho9 0.000 0.000 0.000
Ho10 0.195 0.008 0.702
Zn1 0.865 0.635 0.000
Zn2 0.365 0.865 0.000
Zn3 0.135 0.365 0.000
Zn4 0.635 0.135 0.000
Al1 0.750 0.750 0.500
Al2 0.250 0.250 0.500

***

Entry 12:
## Ho8AlZn2 (PBE-GGA)

Data for Ho8AlZn2 after structural relaxation.

## Properties
Crystal system = monoclinic
Energy = -44.7 eV per formula unit
Formation energy from the elements = -1.80 eV per formula unit
Distance to the lowest polymorph of the same formula = 0.0 meV/atom
Calculated volume = 26.8 Å³ per atom

Cell: 5.083 6.935 9.154 Å, 107.32 106.12 90.00°
Sites, in units of the cell vectors:
Ho1 0.670 0.974 0.340
Ho2 0.330 0.026 0.660
Ho3 0.805 0.690 0.610
Ho4 0.407 0.537 0.815
Ho5 0.027 0.774 0.054
Ho6 0.593 0.463 0.185
Ho7 0.195 0.310 0.390
Ho8 0.973 0.226 0.946
Zn1 0.183 0.709 0.366
Zn2 0.817 0.291 0.634
Al1 0.500 0.000 0.000

***

Entry 13:
## HoAl4Zn (PBE-GGA)

Data for HoAl4Zn after structural relaxation.

## Properties
Crystal system = cubic
Energy = -21.6 eV per formula unit
Formation energy from the elements = -0.79 eV per formula unit
Calculated volume = 19.2 Å³ per atom

Cell: 5.462 5.462 5.462 Å, 60.00 60.00 60.00°
Sites, in units of the cell vectors:
Al1 0.625 0.625 0.625
Al2 0.625 0.625 0.124
Al3 0.625 0.124 0.625
Al4 0.124 0.625 0.625
Zn1 0.250 0.250 0.250
Ho1 0.000 0.000 0.000

***

Entry 14:
## Ho3Al4Zn (PBE-GGA)

Data for Ho3Al4Zn after structural relaxation.

## Properties
Crystal system = orthorhombic
Energy = -32.8 eV per formula unit
Formation energy from the elements = -2.86 eV per formula unit
Calculated volume = 22.0 Å³ per atom

Cell: 5.830 5.652 10.679 Å, 90.00 90.00 90.00°
Sites, in units of the cell vectors:
Al1 0.335 0.500 0.840
Al2 0.665 0.000 0.660
Al3 0.055 0.757 0.000
Al4 0.945 0.257 0.500
Al5 0.665 0.000 0.340
Al6 0.335 0.500 0.160
Al7 0.945 0.743 0.500
Al8 0.055 0.243 0.000
Ho1 0.425 0.500 0.500
Ho2 0.170 0.000 0.253
Ho3 0.830 0.500 0.247
Ho4 0.170 0.000 0.747
Ho5 0.830 0.500 0.753
Ho6 0.575 0.000 0.000
Zn1 0.332 0.000 0.500
Zn2 0.668 0.500 0.000

***

Entry 15:
## Ho6Al2Zn (PBE-GGA)

Data for Ho6Al2Zn after structural relaxation.

## Properties
Crystal system = orthorhombic
Energy = -36.3 eV per formula unit
Formation energy from the elements = -0.03 eV per formula unit
Calculated volume = 29.2 Å³ per atom

Cell: 4.970 7.086 8.637 Å, 114.22 106.76 90.00°
Sites, in units of the cell vectors:
Ho1 0.500 0.755 0.000
Ho2 0.835 0.082 0.670
Ho3 0.500 0.245 0.000
Ho4 0.165 0.412 0.330
Ho5 0.835 0.588 0.670
Ho6 0.165 0.918 0.330
Al1 0.334 0.334 0.668
Al2 0.666 0.666 0.332
Zn1 0.000 0.000 0.000

***

Entry 16:
## Ho4AlZn3 (PBE-GGA)

Data for Ho4AlZn3 after structural relaxation.

## Properties
Crystal system = orthorhombic
Energy = -28.8 eV per formula unit
Formation energy from the elements = -2.88 eV per formula unit
Distance to the lowest polymorph of the same formula = 0.0 meV/atom
Calculated volume = 22.6 Å³ per atom

Cell: 3.574 5.031 10.067 Å, 90.00 90.00 90.00°
Sites, in units of the cell vectors:
Ho1 0.000 0.000 0.500
Ho2 0.000 0.000 0.000
Ho3 0.000 0.500 0.748
Ho4 0.000 0.500 0.252
Zn1 0.500 0.500 0.500
Zn2 0.500 0.000 0.249
Zn3 0.500 0.000 0.751
Al1 0.500 0.500 0.000

***

Entry 17:
## HoAlZn3 (PBE-GGA)

Data for HoAlZn3 after structural relaxation.

## Properties
Crystal system = monoclinic
Energy = -13.7 eV per formula unit
Formation energy from the elements = -1.53 eV per formula unit
Calculated volume = 18.4 Å³ per atom

Cell: 4.197 4.197 5.973 Å, 110.08 110.08 90.21°
Sites, in units of the cell vectors:
Zn1 0.152 0.644 0.296
Zn2 0.644 0.152 0.296
Zn3 0.015 0.015 0.032
Ho1 0.400 0.400 0.801
Al1 0.786 0.786 0.569

***

Entry 18:
## HoAl5Zn7 (PBE-GGA)

Data for HoAl5Zn7 after structural relaxation.

## Properties
Crystal system = orthorhombic
Energy = -33.6 eV per formula unit
Formation energy from the elements = -1.38 eV per formula unit
Calculated volume = 16.8 Å³ per atom

Cell: 5.537 6.860 6.860 Å, 81.71 66.20 66.20°
Sites, in units of the cell vectors:
Al1 0.000 0.497 0.005
Al2 0.498 0.497 0.005
Al3 0.000 0.005 0.497
Al4 0.718 0.782 0.782
Al5 0.498 0.005 0.497
Zn1 0.352 0.648 0.648
Zn2 0.500 0.216 0.784
Zn3 0.287 0.213 0.213
Zn4 0.500 0.784 0.216
Zn5 0.647 0.353 0.353
Zn6 0.998 0.356 0.648
Zn7 0.998 0.648 0.356
Ho1 0.003 0.997 0.997

***

Entry 19:
## Ho2Al3Zn2 (PBE-GGA)

Data for Ho2Al3Zn2 after structural relaxation.

## Properties
Crystal system = orthorhombic
Energy = -24.6 eV per formula unit
Formation energy from the elements = -1.67 eV per formula unit
Distance to the lowest polymorph of the same formula = 155.7 meV/atom
Calculated volume = 20.3 Å³ per atom

Cell: 3.393 4.297 9.964 Å, 102.45 90.00 90.00°
Sites, in units of the cell vectors:
Al1 0.500 0.570 0.140
Al2 0.500 0.430 0.860
Al3 0.000 0.000 0.000
Zn1 0.500 0.714 0.428
Zn2 0.500 0.286 0.572
Ho1 0.000 0.156 0.312
Ho2 0.000 0.844 0.688

***

Entry 20:
## Ho4Al12Zn (PBE-GGA)

Data for Ho4Al12Zn after structural relaxation.

## Properties
Crystal system = cubic
Energy = -70.8 eV per formula unit
Formation energy from the elements = -6.34 eV per formula unit
Calculated volume = 19.2 Å³ per atom

Cell: 7.510 7.510 7.510 Å, 109.47 109.47 109.47°
Sites, in units of the cell vectors:
Ho1 0.000 0.500 0.000
Ho2 0.000 0.000 0.500
Ho3 0.500 0.000 0.000
Ho4 0.500 0.500 0.500
Al1 0.000 0.699 0.699
Al2 0.750 0.250 0.500
Al3 0.699 0.699 0.000
Al4 0.301 0.000 0.301
Al5 0.250 0.750 0.500
Al6 0.750 0.500 0.250
Al7 0.500 0.750 0.250
Al8 0.301 0.301 0.000
Al9 0.250 0.500 0.750
Al10 0.500 0.250 0.750
Al11 0.699 0.000 0.699
Al12 0.000 0.301 0.301
Zn1 0.000 0.000 0.000